(1)
SrCeF5 after structural relaxation. Source: Alexandria via LeMat-Bulk, functional PBE.

Properties
volume = 220 Å³/cell
calculated density = 4.87 g/cm3
E = -87.72 eV for the cell shown

Cell lengths 5.0460, 5.0460, 8.7437 Å; angles 92.71, 92.71, 82.17 degrees
With the nearest neighbours (Å) after each atom.
Sites, in units of the cell vectors:
Sr 0.9997 0.0003 0.2500  9 F 2.49-2.74
Sr 0.0003 0.9997 0.7500  9 F 2.49-2.74
Ce 0.5000 0.5000 0.0000  6 F 2.34-2.36
Ce 0.5000 0.5000 0.5000  6 F 2.34-2.36
F 0.0630 0.7373 0.0010  1 Ce 2.36, 2 Sr 2.51-2.60, 2 F 2.56-2.64
F 0.1182 0.4830 0.3398  1 Ce 2.34
F 0.2627 0.9370 0.4990  1 Ce 2.36, 2 Sr 2.51-2.60, 2 F 2.56-2.64
F 0.3758 0.6242 0.7500  2 Ce 2.34, 1 Sr 2.49
F 0.4830 0.1182 0.8398  1 Ce 2.34
F 0.5170 0.8818 0.1602  1 Ce 2.34
F 0.6242 0.3758 0.2500  2 Ce 2.34, 1 Sr 2.49
F 0.7373 0.0630 0.5010  1 Ce 2.36, 2 Sr 2.51-2.60, 2 F 2.56-2.64
F 0.8818 0.5170 0.6602  1 Ce 2.34
F 0.9370 0.2627 0.9990  1 Ce 2.36, 2 Sr 2.51-2.60, 2 F 2.56-2.64

---

(2)
CsSrInO3 after structural relaxation. Source: Alexandria via LeMat-Bulk, functional PBE.

Properties
volume = 297 Å³/cell
calculated density = 4.29 g/cm3
E = -61.94 eV for the cell shown

Cell lengths 7.1539, 7.1539, 11.5121 Å; angles 90.00, 90.00, 149.76 degrees
With the nearest neighbours (Å) after each atom.
Sites, in units of the cell vectors:
Cs 0.2357 0.7643 0.7500  6 O 3.24-3.28
Cs 0.7643 0.2357 0.2500  6 O 3.24-3.28
Sr 0.0000 0.0000 0.0000  4 O 2.49
Sr 0.0000 0.0000 0.5000  4 O 2.49
In 0.4923 0.5077 0.2500  4 O 2.05-2.17
In 0.5077 0.4923 0.7500  4 O 2.05-2.17
O 0.0727 0.9273 0.2500  2 In 2.17
O 0.4136 0.5864 0.0989  1 In 2.05
O 0.4136 0.5864 0.4011  1 In 2.05
O 0.5864 0.4136 0.5989  1 In 2.05
O 0.5864 0.4136 0.9011  1 In 2.05
O 0.9273 0.0727 0.7500  2 In 2.17

---

(3)
Sr2LiCoN after structural relaxation. Source: Alexandria via LeMat-Bulk, functional PBE.

Properties
volume = 108 Å³/cell
calculated density = 3.91 g/cm3
E = -21.95 eV for the cell shown

Cell lengths 5.4892, 5.4892, 3.5945 Å; angles 90.00, 90.00, 90.00 degrees
With the nearest neighbours (Å) after each atom.
Sites, in units of the cell vectors:
Sr 0.0000 0.5000 0.0000  2 N 2.74
Sr 0.5000 0.0000 0.0000  2 N 2.74
Li 0.0000 0.0000 0.5000  8 Sr 3.28, 2 Li 3.59
Co 0.5000 0.5000 0.5000  2 N 1.80
N 0.5000 0.5000 0.0000  2 Co 1.80

---

(4)
Ga2BiC after structural relaxation. Source: Alexandria via LeMat-Bulk, functional PBE.

Properties
energy of formation from the pure elements = 136 kJ per mole of atoms
volume = 78 Å³/cell
calculated density = 7.68 g/cm3
E = -13.54 eV for the cell shown

Cell lengths 4.7948, 4.7948, 4.7948 Å; angles 60.00, 60.00, 60.00 degrees
With the nearest neighbours (Å) after each atom.
Sites, in units of the cell vectors:
Ga 0.2500 0.2500 0.2500  4 C 2.94, 4 Bi 2.94
Ga 0.7500 0.7500 0.7500  4 C 2.94, 4 Bi 2.94
Bi 0.0000 0.0000 0.0000  8 Ga 2.94
C 0.5000 0.5000 0.5000  8 Ga 2.94

---

(5)
SmCu2Pd6 after structural relaxation. Source: Alexandria via LeMat-Bulk, functional PBE.

Properties
energy of formation from the pure elements = 8 kJ per mole of atoms
volume = 355 Å³/cell
calculated density = 8.57 g/cm3
E = -86.62 eV for the cell shown

Cell lengths 7.9466, 7.9466, 7.9466 Å; angles 60.00, 60.00, 60.00 degrees
With the nearest neighbours (Å) after each atom.
Sites, in units of the cell vectors:
Sm 0.1250 0.1250 0.1250  6 Pd 2.73
Sm 0.8750 0.8750 0.8750  6 Pd 2.73
Cu 0.0000 0.5000 0.5000  6 Pd 2.48
Cu 0.5000 0.0000 0.5000  6 Pd 2.48
Cu 0.5000 0.5000 0.0000  6 Pd 2.48
Cu 0.5000 0.5000 0.5000  6 Pd 2.48
Pd 0.1176 0.1176 0.6324  2 Cu 2.48, 1 Sm 2.73
Pd 0.1176 0.6324 0.1176  2 Cu 2.48, 1 Sm 2.73
Pd 0.1176 0.6324 0.6324  2 Cu 2.48, 1 Sm 2.73
Pd 0.3676 0.3676 0.8824  2 Cu 2.48, 1 Sm 2.73
Pd 0.3676 0.8824 0.3676  2 Cu 2.48, 1 Sm 2.73
Pd 0.3676 0.8824 0.8824  2 Cu 2.48, 1 Sm 2.73
Pd 0.6324 0.1176 0.1176  2 Cu 2.48, 1 Sm 2.73
Pd 0.6324 0.1176 0.6324  2 Cu 2.48, 1 Sm 2.73
Pd 0.6324 0.6324 0.1176  2 Cu 2.48, 1 Sm 2.73
Pd 0.8824 0.3676 0.3676  2 Cu 2.48, 1 Sm 2.73
Pd 0.8824 0.3676 0.8824  2 Cu 2.48, 1 Sm 2.73
Pd 0.8824 0.8824 0.3676  2 Cu 2.48, 1 Sm 2.73

---

(6)
PuV2C after structural relaxation. Source: Alexandria via LeMat-Bulk, functional PBE.

Properties
energy of formation from the pure elements = 32 kJ per mole of atoms
volume = 49 Å³/cell
calculated density = 12.17 g/cm3
E = -40.48 eV for the cell shown

Cell lengths 2.5761, 2.5761, 7.3566 Å; angles 90.00, 90.00, 90.00 degrees
With the nearest neighbours (Å) after each atom.
Sites, in units of the cell vectors:
Pu 0.0000 0.0000 0.0000  4 Pu 2.58
V 0.5000 0.5000 0.3372  4 C 2.18, 1 V 2.39
V 0.5000 0.5000 0.6628  4 C 2.18, 1 V 2.39
C 0.0000 0.0000 0.5000  8 V 2.18

---

(7)
AlPIr2 after structural relaxation. Source: Alexandria via LeMat-Bulk, functional PBE.

Properties
energy of formation from the pure elements = -32 kJ per mole of atoms
volume = 55 Å³/cell
calculated density = 13.28 g/cm3
E = -28.20 eV for the cell shown

Cell lengths 4.3816, 4.3816, 2.9122 Å; angles 90.00, 90.00, 98.40 degrees
With the nearest neighbours (Å) after each atom.
Sites, in units of the cell vectors:
Al 0.0000 0.0000 0.0000  8 Ir 2.63, 2 P 2.86, 2 Al 2.91
P 0.5000 0.5000 0.0000  8 Ir 2.63, 2 Al 2.86, 2 P 2.91
Ir 0.0000 0.5000 0.5000  4 Al 2.63, 4 P 2.63, 4 Ir 2.86-2.91
Ir 0.5000 0.0000 0.5000  4 Al 2.63, 4 P 2.63, 4 Ir 2.86-2.91

---

(8)
BaLi2AuO4 after structural relaxation. Source: Alexandria via LeMat-Bulk, functional PBE.

Properties
volume = 116 Å³/cell
calculated density = 5.91 g/cm3
E = -38.17 eV for the cell shown

Cell lengths 5.5561, 5.5561, 5.5561 Å; angles 122.79, 122.79, 85.23 degrees
With the nearest neighbours (Å) after each atom.
Sites, in units of the cell vectors:
Ba 0.0000 0.0000 0.0000  8 O 2.75-2.98
Li 0.2500 0.7500 0.5000  4 O 2.01
Li 0.7500 0.2500 0.5000  4 O 2.01
Au 0.5000 0.5000 0.0000  4 O 2.06
O 0.1282 0.1282 0.6179  2 Li 2.01, 1 Au 2.06
O 0.4898 0.8718 0.0000  2 Li 2.01, 1 Au 2.06
O 0.5102 0.5102 0.3821  2 Li 2.01, 1 Au 2.06
O 0.8718 0.4898 0.0000  2 Li 2.01, 1 Au 2.06

---

(9)
AsIrSeBr2 after structural relaxation. Source: Alexandria via LeMat-Bulk, functional PBE.

Properties
volume = 137 Å³/cell
calculated density = 6.15 g/cm3
E = -14.31 eV for the cell shown

Cell lengths 5.0994, 5.0994, 5.2502 Å; angles 90.00, 90.00, 90.00 degrees
With the nearest neighbours (Å) after each atom.
Sites, in units of the cell vectors:
As 0.0000 0.0000 0.0000  4 Br 2.55, 2 Se 2.63
Ir 0.5000 0.5000 0.5000  4 Se 3.61, 8 Br 3.66
Se 0.0000 0.0000 0.5000  2 As 2.63
Br 0.0000 0.5000 0.0000  2 As 2.55
Br 0.5000 0.0000 0.0000  2 As 2.55

---

(10)
Nb6Mo3Os after structural relaxation. Source: Alexandria via LeMat-Bulk, functional PBE.

Properties
energy of formation from the pure elements = -17 kJ per mole of atoms
volume = 340 Å³/cell
calculated density = 10.12 g/cm3
E = -211.80 eV for the cell shown

Cell lengths 7.9422, 4.5792, 9.7152 Å; angles 90.00, 105.83, 90.00 degrees
With the nearest neighbours (Å) after each atom.
Sites, in units of the cell vectors:
Nb 0.0461 0.2500 0.3989  7 Mo 2.79-2.83, 1 Nb 2.85
Nb 0.1462 0.7500 0.1960  5 Mo 2.77-2.84, 1 Os 2.82, 2 Nb 2.82
Nb 0.2517 0.2500 0.9974  4 Mo 2.77-2.84, 3 Os 2.77-2.80, 1 Nb 2.80
Nb 0.3485 0.7500 0.8029  3 Os 2.77-2.81, 4 Mo 2.78-2.84, 1 Nb 2.82
Nb 0.3504 0.2500 0.2974  8 Nb 2.80-2.85
Nb 0.4470 0.2500 0.6025  4 Mo 2.77-2.83, 1 Os 2.79, 3 Nb 2.81-2.85
Nb 0.5530 0.7500 0.3975  4 Mo 2.77-2.83, 1 Os 2.79, 3 Nb 2.81-2.85
Nb 0.6496 0.7500 0.7026  8 Nb 2.80-2.85
Nb 0.6515 0.2500 0.1971  3 Os 2.77-2.81, 4 Mo 2.78-2.84, 1 Nb 2.82
Nb 0.7483 0.7500 0.0026  4 Mo 2.77-2.84, 3 Os 2.77-2.80, 1 Nb 2.80
Nb 0.8538 0.2500 0.8040  5 Mo 2.77-2.84, 1 Os 2.82, 2 Nb 2.82
Nb 0.9539 0.7500 0.6011  7 Mo 2.79-2.83, 1 Nb 2.85
Mo 0.0504 0.7500 0.8998  8 Nb 2.77-2.84
Mo 0.1514 0.2500 0.7010  8 Nb 2.77-2.82
Mo 0.2517 0.7500 0.4994  8 Nb 2.79-2.84
Mo 0.7483 0.2500 0.5006  8 Nb 2.79-2.84
Mo 0.8486 0.7500 0.2990  8 Nb 2.77-2.82
Mo 0.9496 0.2500 0.1002  8 Nb 2.77-2.84
Os 0.4499 0.7500 0.0988  8 Nb 2.77-2.82
Os 0.5501 0.2500 0.9012  8 Nb 2.77-2.82

---

(11)
CeDyNi2 after structural relaxation. Source: Alexandria via LeMat-Bulk, functional PBE.

Properties
energy of formation from the pure elements = -38 kJ per mole of atoms
volume = 80 Å³/cell
calculated density = 8.68 g/cm3
E = -23.67 eV for the cell shown

Cell lengths 3.5997, 4.3303, 5.4545 Å; angles 90.00, 109.12, 90.00 degrees
With the nearest neighbours (Å) after each atom.
Sites, in units of the cell vectors:
Ce 0.0000 0.0000 0.0000  7 Ni 2.80-3.00
Dy 0.7292 0.5000 0.4565  7 Ni 2.88-2.90
Ni 0.2921 0.0000 0.5824  2 Ni 2.71, 3 Ce 2.80-3.00, 4 Dy 2.89
Ni 0.4488 0.5000 0.8979  2 Ni 2.71, 4 Ce 2.86-2.87, 3 Dy 2.88-2.90

---

(12)
CdCo after structural relaxation. Source: Alexandria via LeMat-Bulk, functional PBE.

Properties
energy of formation from the pure elements = 16 kJ per mole of atoms
volume = 64 Å³/cell
calculated density = 8.96 g/cm3
E = -15.37 eV for the cell shown

Cell lengths 2.9481, 2.9481, 7.3113 Å; angles 90.00, 90.00, 90.00 degrees
With the nearest neighbours (Å) after each atom.
Sites, in units of the cell vectors:
Cd 0.2500 0.2500 0.1649  5 Co 2.80-3.03, 4 Cd 2.95
Cd 0.7500 0.7500 0.8351  5 Co 2.80-3.03, 4 Cd 2.95
Co 0.2500 0.2500 0.5799  4 Co 2.39
Co 0.7500 0.7500 0.4201  4 Co 2.39